1.
# PBEsol BaAl3Ru, relaxed
# calculated formation energy	-0.41	eV/atom
data_BaAl3Ru
_chemical_formula_sum 'Ba1 Al3 Ru1'
_cell_length_a 4.7914
_cell_length_b 4.7914
_cell_length_c 4.7914
_cell_angle_alpha 90.00
_cell_angle_beta 90.00
_cell_angle_gamma 90.00
_symmetry_space_group_name_H-M 'P m -3 m'
_symmetry_Int_Tables_number 221
_symmetry_space_group_name_Hall '-P 4 2 3'
loop_
_atom_site_label
_atom_site_type_symbol
_atom_site_fract_x
_atom_site_fract_y
_atom_site_fract_z
Ba1 Ba 0.0000 0.0000 0.0000
Al1 Al 0.0000 0.5000 0.5000
Ru1 Ru 0.5000 0.5000 0.5000

=====

2.
# PBEsol Ba2AlRu, relaxed
# calculated formation energy	0.10	eV/atom
data_Ba2AlRu
_chemical_formula_sum 'Ba2 Al1 Ru1'
_cell_length_a 3.5304
_cell_length_b 3.5304
_cell_length_c 9.4236
_cell_angle_alpha 90.00
_cell_angle_beta 90.00
_cell_angle_gamma 90.00
_symmetry_space_group_name_H-M 'P 4 m m'
_symmetry_Int_Tables_number 99
_symmetry_space_group_name_Hall 'P 4 -2'
loop_
_atom_site_label
_atom_site_type_symbol
_atom_site_fract_x
_atom_site_fract_y
_atom_site_fract_z
Ba1 Ba 0.0000 0.0000 0.0000
Ba2 Ba 0.5000 0.5000 0.4174
Al1 Al 0.5000 0.5000 0.7512
Ru1 Ru 0.0000 0.0000 0.6841

=====

3.
# PBEsol Ba2AlSb, relaxed
# energy relative to the elements, uncorrected	-1.7	eV/f.u.
# ΔE to the lowest computed polymorph	0.155	eV/atom
data_Ba2AlSb
_chemical_formula_sum 'Ba8 Al4 Sb4'
_cell_length_a 8.2368
_cell_length_b 8.2368
_cell_length_c 8.2368
_cell_angle_alpha 90.00
_cell_angle_beta 90.00
_cell_angle_gamma 90.00
_symmetry_space_group_name_H-M 'F m -3 m'
_symmetry_Int_Tables_number 225
_symmetry_space_group_name_Hall '-F 4 2 3'
loop_
_atom_site_label
_atom_site_type_symbol
_atom_site_fract_x
_atom_site_fract_y
_atom_site_fract_z
Ba1 Ba 0.2500 0.2500 0.2500
Al1 Al 0.0000 0.0000 0.0000
Sb1 Sb 0.0000 0.0000 0.5000

=====

4.
# PBEsol Ba7Al4Sb9, relaxed
# energy relative to the elements, uncorrected	-15.6	eV/f.u.
data_Ba7Al4Sb9
_chemical_formula_sum 'Ba14 Al8 Sb18'
_cell_length_a 10.8203
_cell_length_b 18.0126
_cell_length_c 7.1284
_cell_angle_alpha 90.00
_cell_angle_beta 90.00
_cell_angle_gamma 90.00
_symmetry_space_group_name_H-M 'P m m n'
_symmetry_Int_Tables_number 59
loop_
_symmetry_equiv_pos_as_xyz
'x,y,z'
'-x,-y,-z'
'-x+1/2,-y+1/2,z'
'x+1/2,y+1/2,-z'
'x+1/2,-y,-z'
'-x+1/2,y,z'
'-x,y+1/2,-z'
'x,-y+1/2,z'
loop_
_atom_site_label
_atom_site_type_symbol
_atom_site_fract_x
_atom_site_fract_y
_atom_site_fract_z
Ba1 Ba 0.0223 0.1259 0.0468
Ba2 Ba 0.2500 0.0373 0.5423
Ba3 Ba 0.2500 0.7500 0.5850
Al1 Al 0.0721 0.2500 0.5589
Al2 Al 0.2500 0.6221 0.2413
Sb1 Sb 0.0405 0.6171 0.4539
Sb2 Sb 0.2500 0.2500 0.2861
Sb3 Sb 0.2500 0.2500 0.8323
Sb4 Sb 0.2500 0.5074 0.0157
Sb5 Sb 0.2500 0.7500 0.0480

=====

5.
# PBEsol BaAl2Sb2, relaxed
# energy relative to the elements, uncorrected	-2.1	eV/f.u.
data_BaAl2Sb2
_chemical_formula_sum 'Ba2 Al4 Sb4'
_cell_length_a 5.2635
_cell_length_b 5.2635
_cell_length_c 9.8495
_cell_angle_alpha 90.00
_cell_angle_beta 90.00
_cell_angle_gamma 90.00
_symmetry_space_group_name_H-M 'I 4/m m m'
_symmetry_Int_Tables_number 139
_symmetry_space_group_name_Hall '-I 4 2'
loop_
_atom_site_label
_atom_site_type_symbol
_atom_site_fract_x
_atom_site_fract_y
_atom_site_fract_z
Ba1 Ba 0.0000 0.0000 0.0000
Al1 Al 0.0000 0.0000 0.3640
Sb1 Sb 0.0000 0.5000 0.2500

=====

6.
# PBEsol BaAl2Sb2, relaxed
# energy relative to the elements, uncorrected	-1.2	eV/f.u.
data_BaAl2Sb2
_chemical_formula_sum 'Ba2 Al4 Sb4'
_cell_length_a 8.2067
_cell_length_b 8.2067
_cell_length_c 3.8436
_cell_angle_alpha 90.00
_cell_angle_beta 90.00
_cell_angle_gamma 90.00
_symmetry_space_group_name_H-M 'P 4/m b m'
_symmetry_Int_Tables_number 127
_symmetry_space_group_name_Hall '-P 4 2ab'
loop_
_atom_site_label
_atom_site_type_symbol
_atom_site_fract_x
_atom_site_fract_y
_atom_site_fract_z
Ba1 Ba 0.0000 0.0000 0.0000
Al1 Al 0.1159 0.3841 0.0000
Sb1 Sb 0.1650 0.6650 0.5000

=====

no.,magnetization (μB/cell)
1,0.0
2,0.3
3,0.0
4,0.0
5,0.0
6,0.0